Ca3Ce | GGA-PBE | relaxed

Cell: 6.0525 6.0525 6.0639 Å, 119.94 119.94 90.00°
Last column: nearest neighbours and their distance in Å.
Fractional coordinates of all 4 atoms:
Ca  0.7500  0.2500  0.5000  4 Ce 3.71, 4 Ca 3.71
Ca  0.2500  0.7500  0.5000  4 Ce 3.71, 4 Ca 3.71
Ca  0.5000  0.5000  0.0000  8 Ca 3.71
Ce  0.0000  0.0000  0.0000  8 Ca 3.71

The calculation puts the density of states at the Fermi level at 11.0 states/eV/f.u. As for the distance to the lowest polymorph of the same formula: 0.031 eV/atom. Its formation energy is 220.5 meV/atom.